# 1
Crystalline NaHoCdTe3 at its relaxed geometry, computed with PBE.

Summary:
Relative energy among the computed polymorphs ... 0.03 eV/f.u.

a = 11.668 Å, b = 4.385 Å, c = 14.774 Å
α = 90.00°, β = 90.00°, γ = 90.00°
Positions (direct):
Cd (0.760, 0.250, 0.778)
Cd (0.240, 0.750, 0.222)
Cd (0.740, 0.750, 0.278)
Cd (0.260, 0.250, 0.722)
Ho (0.489, 0.250, 0.246)
Ho (0.011, 0.750, 0.746)
Ho (0.989, 0.250, 0.254)
Ho (0.511, 0.750, 0.754)
Na (0.769, 0.750, 0.980)
Na (0.731, 0.250, 0.480)
Na (0.231, 0.250, 0.020)
Na (0.269, 0.750, 0.520)
Te (0.761, 0.750, 0.656)
Te (0.457, 0.250, 0.613)
Te (0.431, 0.750, 0.107)
Te (0.739, 0.250, 0.156)
Te (0.957, 0.250, 0.887)
Te (0.261, 0.750, 0.844)
Te (0.043, 0.750, 0.113)
Te (0.069, 0.250, 0.607)
Te (0.569, 0.250, 0.893)
Te (0.931, 0.750, 0.393)
Te (0.239, 0.250, 0.344)
Te (0.543, 0.750, 0.387)

***

# 2
Crystalline KTmCdTe3 at its relaxed geometry, computed with PBE.

Summary:
VASP energy ... -3.682 eV per atom

a = 9.216 Å, b = 4.467 Å, c = 10.919 Å
α = 90.00°, β = 107.90°, γ = 90.00°
Positions (direct):
Tm (0.176, 0.250, 0.636)
Tm (0.824, 0.750, 0.364)
Cd (0.581, 0.250, 0.110)
Cd (0.419, 0.750, 0.890)
Te (0.593, 0.250, 0.369)
Te (0.254, 0.250, 0.948)
Te (0.407, 0.750, 0.631)
Te (0.746, 0.750, 0.052)
Te (0.044, 0.250, 0.348)
Te (0.956, 0.750, 0.652)
K (0.270, 0.750, 0.238)
K (0.730, 0.250, 0.762)

***

# 3
Crystalline TaTc2O4 at its relaxed geometry, computed with PBE.

Summary:
VASP energy ... -8.448 eV per atom

a = 6.203 Å, b = 6.203 Å, c = 6.203 Å
α = 119.98°, β = 90.04°, γ = 119.98°
Positions (direct):
Tc (0.375, 0.750, 0.125)
Tc (0.875, 0.250, 0.625)
Tc (0.375, 0.250, 0.625)
Tc (0.375, 0.750, 0.625)
O (0.622, 0.748, 0.874)
O (0.126, 0.748, 0.874)
O (0.624, 0.248, 0.872)
O (0.126, 0.252, 0.874)
O (0.126, 0.252, 0.378)
O (0.624, 0.752, 0.376)
O (0.128, 0.752, 0.376)
O (0.624, 0.248, 0.376)
Ta (0.000, 0.000, 0.000)
Ta (0.750, 0.500, 0.250)

***

# 4
Crystalline Cu5Ag4 at its relaxed geometry, computed with PBE.

Summary:
Energy relative to the elements ... 108 meV per atom
Relative energy among the computed polymorphs ... 0.61 eV/f.u.

a = 2.781 Å, b = 2.781 Å, c = 19.783 Å
α = 90.00°, β = 90.00°, γ = 120.00°
Positions (direct):
Ag (0.667, 0.333, 0.437)
Ag (0.667, 0.333, 0.113)
Ag (0.333, 0.667, 0.887)
Ag (0.333, 0.667, 0.563)
Cu (0.667, 0.333, 0.774)
Cu (0.000, 0.000, 0.675)
Cu (0.000, 0.000, 0.325)
Cu (0.000, 0.000, 0.000)
Cu (0.333, 0.667, 0.226)

***

# 5
Crystalline YNbGa2 at its relaxed geometry, computed with PBE.

Summary:
VASP energy ... -5.391 eV per atom

a = 4.824 Å, b = 4.824 Å, c = 4.824 Å
α = 60.00°, β = 60.00°, γ = 60.00°
Positions (direct):
Ga (0.000, 0.000, 0.000)
Ga (0.250, 0.250, 0.250)
Nb (0.750, 0.750, 0.750)
Y (0.500, 0.500, 0.500)

***

# 6
Crystalline RbDyY at its relaxed geometry, computed with PBE.

Summary:
VASP energy ... -2.763 eV per atom

a = 5.960 Å, b = 5.960 Å, c = 5.960 Å
α = 60.00°, β = 60.00°, γ = 60.00°
Positions (direct):
Rb (0.250, 0.250, 0.250)
Dy (0.000, 0.000, 0.000)
Y (0.750, 0.750, 0.750)